(1)
{"formula": "U3SeS3", "functional": "GGA-PBE", "state": "optimized geometry", "lattice": [[4.403, 2.542, 2.330], [-4.403, 2.542, 2.330], [0.000, -5.084, 2.330]], "species": ["U", "U", "U", "Se", "S", "S", "S"], "fractional_positions": [[0.168, 0.168, 0.664], [0.168, 0.664, 0.168], [0.664, 0.168, 0.168], [0.163, 0.163, 0.163], [0.308, 0.725, 0.725], [0.725, 0.308, 0.725], [0.725, 0.725, 0.308]], "volume_a3_per_atom": 22.35, "space_group": "No. 160", "raw_formation_energy_ev_per_atom": -1.10}

(2)
{"formula": "U8SeS6", "functional": "GGA-PBE", "state": "optimized geometry", "lattice": [[8.277, 0.000, 0.000], [-4.139, 7.168, 0.000], [0.000, 0.000, 5.494]], "species": ["U", "U", "U", "U", "U", "U", "U", "U", "Se", "S", "S", "S", "S", "S", "S"], "fractional_positions": [[0.000, 0.293, 0.281], [0.000, 0.707, 0.719], [0.293, 0.000, 0.281], [0.293, 0.293, 0.719], [0.333, 0.667, 0.000], [0.667, 0.333, 0.000], [0.707, 0.000, 0.719], [0.707, 0.707, 0.281], [0.000, 0.000, 0.000], [0.000, 0.372, 0.770], [0.000, 0.628, 0.230], [0.372, 0.000, 0.770], [0.372, 0.372, 0.230], [0.628, 0.000, 0.230], [0.628, 0.628, 0.770]], "volume_a3_per_atom": 21.73, "space_group": "No. 162", "raw_formation_energy_ev_per_atom": -0.85}

(3)
{"formula": "U2SeS", "functional": "GGA-PBE", "state": "optimized geometry", "lattice": [[1.875, 1.082, 7.439], [-1.875, 1.082, 7.439], [0.000, -2.165, 7.439]], "species": ["U", "U", "Se", "S"], "fractional_positions": [[0.000, 0.000, 0.000], [0.164, 0.164, 0.164], [0.583, 0.583, 0.583], [0.414, 0.414, 0.414]], "volume_a3_per_atom": 22.64, "space_group": "No. 160", "e_above_lowest_polymorph_kcal_per_mol_atoms": 3.766, "raw_formation_energy_ev_per_atom": -1.02}

(4)
{"formula": "U4Se5S2", "functional": "GGA-PBE", "state": "optimized geometry", "lattice": [[-2.028, 3.443, 11.530], [2.028, -3.443, 11.530], [2.028, 3.443, -11.530]], "species": ["U", "U", "U", "U", "Se", "Se", "Se", "Se", "Se", "S", "S"], "fractional_positions": [[0.122, 0.122, 0.000], [0.175, 0.500, 0.675], [0.825, 0.500, 0.325], [0.878, 0.878, 0.000], [0.153, 0.380, 0.773], [0.394, 0.620, 0.773], [0.500, 0.000, 0.500], [0.606, 0.380, 0.227], [0.847, 0.620, 0.227], [0.221, 0.221, 0.000], [0.779, 0.779, 0.000]], "volume_a3_per_atom": 29.28, "space_group": "No. 71", "e_above_lowest_polymorph_kcal_per_mol_atoms": 12.789, "raw_formation_energy_ev_per_atom": -0.60}

(5)
{"formula": "U4Se3S", "functional": "GGA-PBE", "state": "optimized geometry", "lattice": [[4.113, -5.675, 0.000], [4.113, 5.675, 0.000], [0.000, 0.000, 3.913]], "species": ["U", "U", "U", "U", "Se", "Se", "Se", "S"], "fractional_positions": [[0.238, 0.238, 0.500], [0.243, 0.757, 0.000], [0.757, 0.243, 0.000], [0.762, 0.762, 0.500], [0.000, 0.500, 0.500], [0.500, 0.000, 0.500], [0.500, 0.500, 0.000], [0.000, 0.000, 0.000]], "volume_a3_per_atom": 22.84, "space_group": "No. 65", "raw_formation_energy_ev_per_atom": -1.08}

(6)
{"formula": "U4Se5S2", "functional": "GGA-PBE", "state": "optimized geometry", "lattice": [[11.515, -1.955, 0.000], [11.515, 1.955, 0.000], [-0.342, 0.000, 7.219]], "species": ["U", "U", "U", "U", "Se", "Se", "Se", "Se", "Se", "S", "S"], "fractional_positions": [[0.016, 0.016, 0.290], [0.327, 0.327, 0.569], [0.673, 0.673, 0.431], [0.984, 0.984, 0.710], [0.134, 0.134, 0.177], [0.211, 0.211, 0.690], [0.500, 0.500, 0.000], [0.789, 0.789, 0.310], [0.866, 0.866, 0.823], [0.436, 0.436, 0.450], [0.564, 0.564, 0.550]], "volume_a3_per_atom": 29.54, "space_group": "No. 12", "e_above_lowest_polymorph_kcal_per_mol_atoms": 0.000, "raw_formation_energy_ev_per_atom": -1.15}

(7)
{"formula": "U3Se2S2", "functional": "GGA-PBE", "state": "optimized geometry", "lattice": [[6.865, -1.963, 0.000], [6.865, 1.963, 0.000], [-1.637, 0.000, 6.551]], "species": ["U", "U", "U", "Se", "Se", "S", "S"], "fractional_positions": [[0.000, 0.000, 0.000], [0.250, 0.250, 0.752], [0.750, 0.750, 0.248], [0.388, 0.388, 0.163], [0.612, 0.612, 0.837], [0.136, 0.136, 0.364], [0.864, 0.864, 0.636]], "volume_a3_per_atom": 25.22, "space_group": "No. 12", "raw_formation_energy_ev_per_atom": -1.22}

(8)
{"formula": "U2SeS", "functional": "GGA-PBE", "state": "optimized geometry", "lattice": [[3.675, 0.000, 0.000], [0.000, 7.643, 0.000], [0.000, 0.000, 6.443]], "species": ["U", "U", "U", "U", "Se", "Se", "S", "S"], "fractional_positions": [[0.250, 0.003, 0.233], [0.250, 0.497, 0.233], [0.750, 0.503, 0.767], [0.750, 0.997, 0.767], [0.250, 0.250, 0.579], [0.750, 0.750, 0.421], [0.250, 0.750, 0.915], [0.750, 0.250, 0.085]], "volume_a3_per_atom": 22.62, "space_group": "No. 59", "e_above_lowest_polymorph_kcal_per_mol_atoms": 4.245, "raw_formation_energy_ev_per_atom": -1.00}